No. 1
The following is a DFT calculation (PBE-GGA) of a relaxed structure of Cd2HN.

Values from the calculation:
For the total energy, the calculation gives -2.88 eV/atom. The size of the total moment is 0.000 μB per atom. The value obtained for the polymorph energy (0 for the lowest one) is 0 meV/atom. As for the space group: I-42d.

Geometry as POSCAR:
```
Cd2HN
1.0
4.8794 0.0000 0.0000
0.0000 4.8794 0.0000
0.0000 0.0000 10.8861
Cd H N
8 4 4
Cartesian
1.1796 1.2199 1.3608
1.2199 3.6193 4.0823
1.2199 3.6998 9.5254
1.2601 1.2199 6.8038
3.6193 3.6596 6.8038
3.6596 1.1796 9.5254
3.6596 1.2601 4.0823
3.6998 3.6596 1.3608
0.0000 0.0000 5.4431
0.0000 2.4397 8.1646
2.4397 0.0000 2.7215
2.4397 2.4397 0.0000
0.0000 0.0000 0.0000
0.0000 2.4397 2.7215
2.4397 0.0000 8.1646
2.4397 2.4397 5.4431
```

***

No. 2
The following is a DFT calculation (PBE-GGA) of a relaxed structure of CdHN2.

Values from the calculation:
For the total energy, the calculation gives -3.98 eV/atom. The size of the total moment is 0.000 μB per atom. The value obtained for the polymorph energy (0 for the lowest one) is 0 meV/atom. As for the space group: R-3m.

Geometry as POSCAR:
```
CdHN2
1.0
3.4911 0.0000 0.0000
-1.7456 3.0234 0.0000
0.0000 0.0000 13.4893
Cd H N
3 3 6
Cartesian
0.0000 0.0000 0.0000
0.0000 2.0156 8.9929
1.7456 1.0078 4.4964
0.0000 0.0000 6.7447
0.0000 2.0156 2.2482
1.7456 1.0078 11.2411
0.0000 0.0000 5.5152
0.0000 0.0000 7.9741
0.0000 2.0156 1.0187
0.0000 2.0156 3.4777
1.7456 1.0078 10.0116
1.7456 1.0078 12.4706
```

***

Q: Number 1 is which compound?
A: Cd2HN

***

Q: Number 1 is which compound?
A: Cd2HN

***

Q: Number 2 is which compound?
A: CdHN2

***

Q: What is the formula in the second record?
A: CdHN2